Entry 1:
! Dy8Tl2Pt (PBE, relaxed); values from VASP
! E_form ... -345 meV per atom
! Symmetry ... No. 12
! Crystal system ... monoclinic
&SYSTEM
  ibrav = 0, nat = 11, ntyp = 3
/
ATOMIC_SPECIES
Dy 162.50 Dy.upf
Pt 195.08 Pt.upf
Tl 204.38 Tl.upf
CELL_PARAMETERS angstrom
5.057 0.000 0.000
0.000 6.715 0.273
-2.529 -2.475 9.171
ATOMIC_POSITIONS crystal
Dy 0.589 0.455 0.178
Dy 0.647 0.989 0.295
Dy 0.981 0.223 0.962
Dy 0.353 0.011 0.705
Dy 0.790 0.679 0.580
Dy 0.210 0.321 0.420
Dy 0.411 0.545 0.822
Dy 0.019 0.777 0.038
Pt 0.500 0.000 0.000
Tl 0.815 0.241 0.630
Tl 0.185 0.759 0.370

Entry 2:
! DyTlPt (PBE, relaxed); values from VASP
! E_form ... -703 meV per atom
! Symmetry ... No. 216
! Crystal system ... cubic
&SYSTEM
  ibrav = 0, nat = 3, ntyp = 3
/
ATOMIC_SPECIES
Dy 162.50 Dy.upf
Pt 195.08 Pt.upf
Tl 204.38 Tl.upf
CELL_PARAMETERS angstrom
4.762 0.000 0.000
2.381 4.124 0.000
2.381 1.375 3.888
ATOMIC_POSITIONS crystal
Dy 0.000 0.000 0.000
Pt 0.250 0.250 0.250
Tl 0.500 0.500 0.500

Entry 3:
! Dy12Tl5Pt2 (PBE, relaxed); values from VASP
! E_form ... -288 meV per atom
! Symmetry ... No. 12
! Crystal system ... monoclinic
&SYSTEM
  ibrav = 0, nat = 19, ntyp = 3
/
ATOMIC_SPECIES
Tl 204.38 Tl.upf
Dy 162.50 Dy.upf
Pt 195.08 Pt.upf
CELL_PARAMETERS angstrom
7.677 0.000 0.000
-3.839 8.275 0.622
0.000 -2.234 9.170
ATOMIC_POSITIONS crystal
Tl 0.678 0.356 0.842
Tl 0.712 0.423 0.358
Tl 0.000 0.000 0.500
Tl 0.322 0.644 0.158
Tl 0.288 0.577 0.642
Dy 0.031 0.063 0.835
Dy 0.488 0.975 0.733
Dy 0.920 0.331 0.108
Dy 0.512 0.025 0.267
Dy 0.589 0.669 0.892
Dy 0.969 0.937 0.165
Dy 0.080 0.669 0.892
Dy 0.411 0.331 0.108
Dy 0.601 0.711 0.434
Dy 0.399 0.289 0.566
Dy 0.890 0.289 0.566
Dy 0.110 0.711 0.434
Pt 0.299 0.000 0.000
Pt 0.701 0.000 0.000

Entry 4:
! Dy4Tl2Pt (PBE, relaxed); values from VASP
! E_form ... -535 meV per atom
! Symmetry ... No. 62
! Crystal system ... orthorhombic
! Energy above the lowest structure with this stoichiometry ... 0 meV/atom
&SYSTEM
  ibrav = 0, nat = 28, ntyp = 3
/
ATOMIC_SPECIES
Dy 162.50 Dy.upf
Tl 204.38 Tl.upf
Pt 195.08 Pt.upf
CELL_PARAMETERS angstrom
-3.442 0.595 1.314
-5.354 -4.835 -11.835
-0.205 -14.163 5.878
ATOMIC_POSITIONS crystal
Dy 0.750 0.067 0.291
Dy 0.750 0.719 0.800
Dy 0.750 0.305 0.959
Dy 0.750 0.567 0.209
Dy 0.250 0.933 0.709
Dy 0.250 0.281 0.200
Dy 0.250 0.433 0.791
Dy 0.250 0.937 0.111
Dy 0.250 0.781 0.300
Dy 0.750 0.063 0.889
Dy 0.250 0.195 0.459
Dy 0.750 0.563 0.611
Dy 0.250 0.437 0.389
Dy 0.750 0.219 0.700
Dy 0.250 0.695 0.041
Dy 0.750 0.805 0.541
Tl 0.750 0.629 0.408
Tl 0.750 0.046 0.571
Tl 0.750 0.129 0.092
Tl 0.250 0.454 0.071
Tl 0.250 0.954 0.429
Tl 0.250 0.371 0.592
Tl 0.250 0.871 0.908
Tl 0.750 0.546 0.929
Pt 0.750 0.783 0.160
Pt 0.750 0.283 0.340
Pt 0.250 0.217 0.840
Pt 0.250 0.717 0.660

Entry 5:
! DyTmTlPt (PBE, relaxed); values from VASP
! E_form ... -706 meV per atom
! Symmetry ... No. 216
! Crystal system ... cubic
&SYSTEM
  ibrav = 0, nat = 4, ntyp = 4
/
ATOMIC_SPECIES
Pt 195.08 Pt.upf
Tl 204.38 Tl.upf
Tm 168.93 Tm.upf
Dy 162.50 Dy.upf
CELL_PARAMETERS angstrom
-4.300 2.178 1.720
-3.405 -2.779 2.622
-0.635 0.798 5.015
ATOMIC_POSITIONS crystal
Pt 0.500 0.500 0.500
Tl 0.000 0.000 0.000
Tm 0.750 0.750 0.750
Dy 0.250 0.250 0.250

Entry 6:
! DyTmPt (PBE, relaxed); values from VASP
! E_form ... -837 meV per atom
! Symmetry ... No. 63
! Crystal system ... orthorhombic
! Energy above the lowest structure with this stoichiometry ... 63 meV/atom
&SYSTEM
  ibrav = 0, nat = 6, ntyp = 3
/
ATOMIC_SPECIES
Pt 195.08 Pt.upf
Dy 162.50 Dy.upf
Tm 168.93 Tm.upf
CELL_PARAMETERS angstrom
-2.654 0.133 -2.417
-3.207 -2.026 3.410
-0.596 7.208 3.721
ATOMIC_POSITIONS crystal
Pt 0.577 0.250 0.153
Pt 0.423 0.750 0.847
Dy 0.926 0.250 0.853
Dy 0.074 0.750 0.147
Tm 0.217 0.250 0.435
Tm 0.783 0.750 0.565

Entry 7:
! Dy3TmPt2 (PBE, relaxed); values from VASP
! E_form ... -960 meV per atom
! Symmetry ... No. 26
! Crystal system ... orthorhombic
&SYSTEM
  ibrav = 0, nat = 12, ntyp = 3
/
ATOMIC_SPECIES
Dy 162.50 Dy.upf
Pt 195.08 Pt.upf
Tm 168.93 Tm.upf
CELL_PARAMETERS angstrom
4.758 0.000 0.000
0.000 7.132 0.000
0.000 0.000 8.790
ATOMIC_POSITIONS crystal
Dy 0.500 0.644 0.170
Dy 0.000 0.491 0.916
Dy 0.000 0.356 0.333
Dy 0.500 0.144 0.830
Dy 0.000 0.991 0.084
Dy 0.000 0.856 0.667
Pt 0.500 0.740 0.842
Pt 0.000 0.261 0.656
Pt 0.000 0.761 0.344
Pt 0.500 0.240 0.158
Tm 0.500 0.509 0.584
Tm 0.500 0.009 0.416

Entry 8:
! Dy2TmPt (PBE, relaxed); values from VASP
! E_form ... -726 meV per atom
! Symmetry ... No. 62
! Crystal system ... orthorhombic
! Energy above the lowest structure with this stoichiometry ... 0 meV/atom
&SYSTEM
  ibrav = 0, nat = 16, ntyp = 3
/
ATOMIC_SPECIES
Tm 168.93 Tm.upf
Pt 195.08 Pt.upf
Dy 162.50 Dy.upf
CELL_PARAMETERS angstrom
-0.362 -5.197 3.835
2.844 -3.920 -5.044
8.706 1.916 3.419
ATOMIC_POSITIONS crystal
Tm 0.131 0.973 0.750
Tm 0.631 0.527 0.250
Tm 0.369 0.473 0.750
Tm 0.869 0.027 0.250
Pt 0.956 0.609 0.750
Pt 0.456 0.891 0.250
Pt 0.544 0.109 0.750
Pt 0.044 0.391 0.250
Dy 0.319 0.183 0.440
Dy 0.181 0.683 0.440
Dy 0.181 0.683 0.060
Dy 0.319 0.183 0.060
Dy 0.819 0.317 0.940
Dy 0.819 0.317 0.560
Dy 0.681 0.817 0.940
Dy 0.681 0.817 0.560

Which value of E_form does entry 1 give?
-345 meV per atom

Look up the E_form of the third one.
-288 meV per atom